Entry 1:
A plane-wave DFT calculation with GGA-PBE was carried out for a geometry-optimized Ag2AsPb structure.

POSCAR file:
```
Ag2AsPb
1.0
1.6770 0.9682 8.9763
-1.6770 0.9682 8.9763
0.0000 -1.9364 8.9763
Ag As Pb
2 1 1
direct
0.2405 0.2405 0.2405
0.7595 0.7595 0.7595
0.5000 0.5000 0.5000
0.0000 0.0000 0.0000
```

Summary:
Electronic total energy in Ha/atom: -0.122
Energy of formation in eV/atom: 0.182
Space-group type: R-3m, No. 166

=====

Entry 2:
A plane-wave DFT calculation with GGA-PBE was carried out for a geometry-optimized AgAsPb2 structure.

POSCAR file:
```
AgAsPb2
1.0
1.6771 0.9682 10.4737
-1.6771 0.9682 10.4737
0.0000 -1.9365 10.4737
Ag As Pb
1 1 2
direct
0.0000 0.0000 0.0000
0.2713 0.2713 0.2713
0.5195 0.5195 0.5195
0.7463 0.7463 0.7463
```

Summary:
Electronic total energy in Ha/atom: -0.131
Energy of formation in eV/atom: 0.153
Space-group type: R3m, No. 160

=====

Entry 3:
A plane-wave DFT calculation with GGA-PBE was carried out for a geometry-optimized Ag2AsPb structure.

POSCAR file:
```
Ag2AsPb
1.0
2.9741 -3.3480 0.0000
2.9741 3.3480 0.0000
-2.0739 0.0000 4.4885
Ag As Pb
2 1 1
direct
0.0000 0.0000 0.0000
0.7630 0.2370 0.5000
0.5783 0.4217 0.0000
0.2752 0.7248 0.5000
```

Summary:
Electronic total energy in Ha/atom: -0.123
Energy of formation in eV/atom: 0.168
Space-group type: C2, No. 5

=====

Entry 4:
A plane-wave DFT calculation with GGA-PBE was carried out for a geometry-optimized AgAs2Pb structure.

POSCAR file:
```
AgAs2Pb
1.0
3.2508 -4.4012 0.0000
3.2508 4.4012 0.0000
0.0000 0.0000 3.1617
Ag As Pb
1 2 1
direct
0.0000 0.0000 0.0000
0.0000 0.5000 0.5000
0.5000 0.0000 0.5000
0.5000 0.5000 0.0000
```

Summary:
Electronic total energy in Ha/atom: -0.135
Energy of formation in eV/atom: 0.303
Space-group type: Cmmm, No. 65

=====

Entry 5:
A plane-wave DFT calculation with GGA-PBE was carried out for a geometry-optimized AgAs2Pb structure.

POSCAR file:
```
AgAs2Pb
1.0
4.4508 -1.8999 0.0000
4.4508 1.8999 0.0000
-1.8632 0.0000 5.5314
Ag As Pb
1 2 1
direct
0.0000 0.0000 0.0000
0.4604 0.4604 0.3660
0.7447 0.7447 0.1652
0.2230 0.2230 0.6972
```

Summary:
Electronic total energy in Ha/atom: -0.139
Energy of formation in eV/atom: 0.191
Space-group type: Cm, No. 8

=====

Entry 6:
A plane-wave DFT calculation with GGA-PBE was carried out for a geometry-optimized AgAs2Pb structure.

POSCAR file:
```
AgAs2Pb
1.0
1.6383 0.9459 9.6784
-1.6383 0.9459 9.6784
0.0000 -1.8917 9.6784
Ag As Pb
1 2 1
direct
0.0000 0.0000 0.0000
0.2632 0.2632 0.2632
0.7368 0.7368 0.7368
0.5000 0.5000 0.5000
```

Summary:
Electronic total energy in Ha/atom: -0.136
Energy of formation in eV/atom: 0.269
Space-group type: R-3m, No. 166